(1)
# PmDy5Ho2Tm

A geometry-optimized PmDy5Ho2Tm structure (PBE, the Alexandria database).

Cell lengths 10.2571, 10.2571, 10.5297 Å; angles 90.00, 90.00, 148.38 degrees
With the nearest neighbours (Å) after each atom.
Atoms (fractional coordinates):
Pm1 0.0849 0.9151 0.5000  5 Dy 3.03-3.25
Pm2 0.9151 0.0849 0.0000  5 Dy 3.03-3.25
Dy1 0.0207 0.9793 0.7842  2 Pm 3.08-3.25, 2 Ho 3.44
Dy2 0.1139 0.8861 0.0680  6 Dy 3.50-3.82, 4 Ho 3.53-3.59, 1 Tm 3.69
Dy3 0.2015 0.7985 0.7546  4 Dy 3.39-3.72, 3 Tm 3.48-3.75, 3 Ho 3.48-3.71, 1 Pm 3.53
Dy4 0.2189 0.7811 0.3590  1 Pm 3.03, 1 Ho 3.31, 2 Dy 3.39
Dy5 0.4818 0.5182 0.0689  2 Pm 3.17, 3 Ho 3.38-3.54
Dy6 0.5182 0.4818 0.5689  2 Pm 3.17, 3 Ho 3.38-3.54
Dy7 0.7811 0.2189 0.8590  1 Pm 3.03, 1 Ho 3.31, 2 Dy 3.39
Dy8 0.7985 0.2015 0.2546  4 Dy 3.39-3.72, 3 Tm 3.48-3.75, 3 Ho 3.48-3.71, 1 Pm 3.53
Dy9 0.8861 0.1139 0.5680  6 Dy 3.50-3.82, 4 Ho 3.53-3.59, 1 Tm 3.69
Dy10 0.9793 0.0207 0.2842  2 Pm 3.08-3.25, 2 Ho 3.44
Ho1 0.3865 0.6135 0.3634  9 Dy 3.31-3.63, 1 Tm 3.64
Ho2 0.3888 0.6112 0.7816  1 Tm 3.39, 7 Dy 3.40-3.71, 2 Pm 3.66
Ho3 0.6112 0.3888 0.2816  1 Tm 3.39, 7 Dy 3.40-3.71, 2 Pm 3.66
Ho4 0.6135 0.3865 0.8634  9 Dy 3.31-3.63, 1 Tm 3.64
Tm1 0.3006 0.6994 0.0580  2 Ho 3.39-3.64, 8 Dy 3.48-3.75, 2 Pm 3.64
Tm2 0.6994 0.3006 0.5580  2 Ho 3.39-3.64, 8 Dy 3.48-3.75, 2 Pm 3.64

Calculated values
Space-group type ... Cmc2_1
Spin magnetization ... 0.01 μB/f.u.
Volume ... 580.72 Å³ per cell
Uncorrected energy ... -4.440 eV/atom

(2)
# Tl2NiP2

A geometry-optimized Tl2NiP2 structure (PBE, the Alexandria database).

Cell lengths 5.8825, 5.8825, 5.9999 Å; angles 90.00, 90.00, 90.00 degrees
With the nearest neighbours (Å) after each atom.
Atoms (fractional coordinates):
Tl1 0.1914 0.3086 0.0000  5 Tl 3.02-3.18, 2 P 3.33
Tl2 0.3086 0.8086 0.0000  5 Tl 3.02-3.18, 2 P 3.33
Tl3 0.6914 0.1914 0.0000  5 Tl 3.02-3.18, 2 P 3.33
Tl4 0.8086 0.6914 0.0000  5 Tl 3.02-3.18, 2 P 3.33
Ni1 0.0000 0.0000 0.5000  4 P 2.29
Ni2 0.5000 0.5000 0.5000  4 P 2.29
P1 0.1338 0.6338 0.5000  1 P 2.23, 2 Ni 2.29
P2 0.3662 0.1338 0.5000  1 P 2.23, 2 Ni 2.29
P3 0.6338 0.8662 0.5000  1 P 2.23, 2 Ni 2.29
P4 0.8662 0.3662 0.5000  1 P 2.23, 2 Ni 2.29

Calculated values
Space-group type ... P4/mbm
Spin magnetization ... 0.00 μB/f.u.
Volume ... 207.62 Å³ per cell
Uncorrected energy ... -4.263 eV/atom

What did the second record say?
# Tl2NiP2

A geometry-optimized Tl2NiP2 structure (PBE, the Alexandria database).

Cell lengths 5.8825, 5.8825, 5.9999 Å; angles 90.00, 90.00, 90.00 degrees
With the nearest neighbours (Å) after each atom.
Atoms (fractional coordinates):
Tl1 0.1914 0.3086 0.0000  5 Tl 3.02-3.18, 2 P 3.33
Tl2 0.3086 0.8086 0.0000  5 Tl 3.02-3.18, 2 P 3.33
Tl3 0.6914 0.1914 0.0000  5 Tl 3.02-3.18, 2 P 3.33
Tl4 0.8086 0.6914 0.0000  5 Tl 3.02-3.18, 2 P 3.33
Ni1 0.0000 0.0000 0.5000  4 P 2.29
Ni2 0.5000 0.5000 0.5000  4 P 2.29
P1 0.1338 0.6338 0.5000  1 P 2.23, 2 Ni 2.29
P2 0.3662 0.1338 0.5000  1 P 2.23, 2 Ni 2.29
P3 0.6338 0.8662 0.5000  1 P 2.23, 2 Ni 2.29
P4 0.8662 0.3662 0.5000  1 P 2.23, 2 Ni 2.29

Calculated values
Space-group type ... P4/mbm
Spin magnetization ... 0.00 μB/f.u.
Volume ... 207.62 Å³ per cell
Uncorrected energy ... -4.263 eV/atom

Q: The lowest volume belongs to which entry?
A: Tl2NiP2